{
  "formula": "TbPr6Sm2Dy3",
  "functional": "GGA-PBE",
  "state": "relaxed",
  "lattice_angstrom": [[6.333, -0.001, 0.006], [-3.166, 5.485, 0.006], [-1.064, -1.843, 11.783]],
  "species": ["Tb", "Pr", "Pr", "Pr", "Pr", "Pr", "Pr", "Sm", "Sm", "Dy", "Dy", "Dy"],
  "frac_coords": [[0.000, 0.000, 0.000], [0.916, 0.583, 0.748], [0.751, 0.751, 0.252], [0.084, 0.417, 0.252], [0.583, 0.916, 0.748], [0.249, 0.249, 0.748], [0.417, 0.084, 0.252], [0.333, 0.667, 0.000], [0.667, 0.333, 0.000], [0.167, 0.833, 0.500], [0.833, 0.167, 0.500], [0.500, 0.500, 0.500]],
  "n_ef_per_ev_fu": 14.5,
  "magnetic_moment_mub_per_cell": 0.000,
  "formation_energy_ev_per_fu": 0.1,
  "sg": "C2/m (12)"
}

---

{
  "formula": "Na3Li3MnCl8",
  "functional": "GGA-PBE",
  "state": "relaxed",
  "lattice_angstrom": [[7.556, 0.000, 0.000], [-3.778, 6.546, -0.022], [0.000, -4.341, 6.449]],
  "species": ["Na", "Na", "Na", "Li", "Li", "Li", "Mn", "Cl", "Cl", "Cl", "Cl", "Cl", "Cl", "Cl", "Cl"],
  "frac_coords": [[0.000, 0.000, 0.000], [0.000, 0.500, 0.000], [0.500, 0.500, 0.000], [0.500, 0.000, 0.500], [0.500, 0.500, 0.500], [0.000, 0.500, 0.500], [0.000, 0.000, 0.500], [0.257, 0.515, 0.272], [0.743, 0.485, 0.728], [0.764, 0.529, 0.280], [0.236, 0.471, 0.720], [0.764, 0.015, 0.280], [0.236, 0.985, 0.720], [0.251, 0.015, 0.280], [0.749, 0.985, 0.720]],
  "e_form_raw_ev_per_fu": -24.87,
  "n_ef_per_ev_fu": 0.0,
  "magnetic_moment_mub_per_cell": 5.000,
  "sg": "R-3m (166)"
}

---

{
  "formula": "Tl3Os5",
  "functional": "GGA-PBE",
  "state": "relaxed",
  "lattice_angstrom": [[-5.066, -2.609, -6.210], [-0.863, -3.178, 7.758], [-3.223, 3.601, 1.117]],
  "species": ["Tl", "Tl", "Tl", "Tl", "Tl", "Tl", "Os", "Os", "Os", "Os", "Os", "Os", "Os", "Os", "Os", "Os"],
  "frac_coords": [[0.610, 0.000, 0.250], [0.390, 0.000, 0.750], [0.000, 0.610, 0.250], [0.390, 0.390, 0.250], [0.610, 0.610, 0.750], [0.000, 0.390, 0.750], [0.333, 0.667, 0.000], [0.667, 0.333, 0.500], [0.667, 0.333, 0.000], [0.333, 0.667, 0.500], [0.171, 0.000, 0.250], [0.829, 0.000, 0.750], [0.000, 0.171, 0.250], [0.829, 0.829, 0.250], [0.171, 0.171, 0.750], [0.000, 0.829, 0.750]],
  "n_ef_per_ev_fu": 6.7,
  "magnetic_moment_mub_per_cell": 0.501,
  "formation_energy_ev_per_fu": 10.1,
  "sg": "P6_3/mcm (193)",
  "de_polymorph_mev_per_atom": 503
}

---

{
  "formula": "Ta5Mn4Os",
  "functional": "GGA-PBE",
  "state": "relaxed",
  "lattice_angstrom": [[-0.093, 3.020, 0.620], [-2.671, -0.389, 1.491], [7.725, -2.470, 13.196]],
  "species": ["Ta", "Ta", "Ta", "Ta", "Ta", "Mn", "Mn", "Mn", "Mn", "Os"],
  "frac_coords": [[0.500, 0.500, 0.108], [0.500, 0.500, 0.304], [0.500, 0.500, 0.500], [0.500, 0.500, 0.696], [0.500, 0.500, 0.892], [0.000, 0.000, 0.204], [0.000, 0.000, 0.401], [0.000, 0.000, 0.599], [0.000, 0.000, 0.796], [0.000, 0.000, 0.000]],
  "n_ef_per_ev_fu": 3.0,
  "magnetic_moment_mub_per_cell": 0.000,
  "formation_energy_ev_per_fu": -2.6,
  "sg": "P4/mmm (123)"
}